a | VASP calculation (PBE-GGA) on a relaxed structure of La7TbHo2.

Cell: 8.918 16.456 5.798 Å, 90.00 90.00 90.00°
Space group Cmmm (No. 65)
Symmetry-distinct sites (fractional):
La1 0.000 0.000 0.000 (multiplicity 2)
La2 0.000 0.268 0.500 (multiplicity 4)
La3 0.181 0.386 0.000 (multiplicity 8)
Tb1 0.000 0.500 0.500 (multiplicity 2)
Ho1 0.000 0.206 0.000 (multiplicity 4)


b | VASP calculation (PBE-GGA) on a relaxed structure of La7TbHo2.

Cell: 12.232 17.129 3.537 Å, 90.00 90.00 90.00°
Space group Cmmm (No. 65)
Symmetry-distinct sites (fractional):
La1 0.000 0.000 0.000 (multiplicity 2)
La2 0.000 0.180 0.500 (multiplicity 4)
La3 0.245 0.130 0.000 (multiplicity 8)
Tb1 0.000 0.500 0.500 (multiplicity 2)
Ho1 0.000 0.335 0.000 (multiplicity 4)


Least stable: a


a | VASP calculation (PBE-GGA) on a relaxed structure of La4Tb3Ho4.

Cell: 10.773 5.748 12.033 Å, 90.00 90.00 90.00°
Space group Amm2 (No. 38)
Symmetry-distinct sites (fractional):
La1 0.000 0.000 0.000 (multiplicity 2)
La2 0.205 0.000 0.804 (multiplicity 4)
La3 0.500 0.000 0.918 (multiplicity 2)
Tb1 0.000 0.000 0.294 (multiplicity 2)
Tb2 0.286 0.000 0.455 (multiplicity 4)
Ho1 0.000 0.000 0.594 (multiplicity 2)
Ho2 0.306 0.000 0.148 (multiplicity 4)
Ho3 0.500 0.000 0.645 (multiplicity 2)


b | VASP calculation (PBE-GGA) on a relaxed structure of La4Tb3Ho4.

Cell: 3.607 9.514 22.106 Å, 90.00 90.00 90.00°
Space group Immm (No. 71)
Symmetry-distinct sites (fractional):
La1 0.000 0.170 0.146 (multiplicity 8)
Tb1 0.000 0.000 0.395 (multiplicity 4)
Tb2 0.000 0.500 0.500 (multiplicity 2)
Ho1 0.000 0.316 0.000 (multiplicity 4)
Ho2 0.000 0.500 0.235 (multiplicity 4)


Least stable: a


a | VASP calculation (PBE-GGA) on a relaxed structure of La7Tb2Ho2.

Cell: 11.531 11.631 6.210 Å, 90.00 111.39 90.00°
Space group C2/m (No. 12)
Symmetry-distinct sites (fractional):
La1 0.000 0.000 0.000 (multiplicity 2)
La2 0.073 0.500 0.802 (multiplicity 4)
La3 0.185 0.231 0.184 (multiplicity 8)
Tb1 0.000 0.211 0.500 (multiplicity 4)
Ho1 0.227 0.000 0.591 (multiplicity 4)


b | VASP calculation (PBE-GGA) on a relaxed structure of La7Tb2Ho2.

Cell: 6.764 12.168 9.790 Å, 90.00 90.00 90.00°
Space group Cmmm (No. 65)
Symmetry-distinct sites (fractional):
La1 0.000 0.000 0.000 (multiplicity 2)
La2 0.000 0.500 0.175 (multiplicity 4)
La3 0.250 0.250 0.319 (multiplicity 8)
Tb1 0.000 0.268 0.000 (multiplicity 4)
Ho1 0.248 0.500 0.500 (multiplicity 4)


Least stable: b